(1)
TaMo3 | GGA-PBEsol | relaxed

Properties
magnetization = 0.0 μB per formula unit
raw total energy = -12.0272 eV per atom
formation energy from the elements = -0.063 eV/atom
symmetry = Cmme (67)

a = 2.753 Å, b = 2.753 Å, c = 17.755 Å
α = 90.00°, β = 90.00°, γ = 109.93°
Element x y z (fractional)
Ta: 0.250 0.750 0.811
Ta: 0.750 0.250 0.189
Mo: 0.250 0.750 0.061
Mo: 0.250 0.750 0.316
Mo: 0.250 0.750 0.561
Mo: 0.750 0.250 0.439
Mo: 0.750 0.250 0.684
Mo: 0.750 0.250 0.939

(2)
InAgW | GGA-PBEsol | relaxed

Properties
magnetization = 0.7 μB per formula unit
raw total energy = -5.3762 eV per atom
formation energy from the elements = 1.324 eV/atom
symmetry = F-43m (216)
ΔE to the lowest computed polymorph = 0.8496 eV/atom

a = 4.478 Å, b = 4.478 Å, c = 4.478 Å
α = 60.00°, β = 60.00°, γ = 60.00°
Element x y z (fractional)
In: 0.000 0.000 0.000
Ag: 0.500 0.500 0.500
W: 0.250 0.250 0.250

(3)
Al2FeW | GGA-PBEsol | relaxed

Properties
magnetization = 2.5 μB per formula unit
raw total energy = -7.7570 eV per atom
formation energy from the elements = -0.018 eV/atom
symmetry = Cmmm (65)
ΔE to the lowest computed polymorph = 0.0000 eV/atom

a = 4.716 Å, b = 4.716 Å, c = 2.693 Å
α = 90.00°, β = 90.00°, γ = 109.95°
Element x y z (fractional)
Al: 0.000 0.500 0.000
Al: 0.500 0.000 0.000
Fe: 0.000 0.000 0.500
W: 0.500 0.500 0.500

(4)
FeMoC2 | GGA-PBEsol | relaxed

Properties
magnetization = 1.4 μB per formula unit
raw total energy = -9.2581 eV per atom
formation energy from the elements = 0.747 eV/atom
symmetry = Fm-3m (225)

a = 3.653 Å, b = 3.653 Å, c = 3.653 Å
α = 60.00°, β = 60.00°, γ = 60.00°
Element x y z (fractional)
Fe: 0.000 0.000 0.000
Mo: 0.500 0.500 0.500
C: 0.250 0.250 0.250
C: 0.750 0.750 0.750

(5)
K2CaZnRu | GGA-PBEsol | relaxed

Properties
magnetization = 1.1 μB per formula unit
raw total energy = -2.3335 eV per atom
formation energy from the elements = 0.897 eV/atom
symmetry = P4/mmm (123)

a = 5.828 Å, b = 5.828 Å, c = 4.883 Å
α = 90.00°, β = 90.00°, γ = 90.00°
Element x y z (fractional)
K: 0.000 0.500 0.000
K: 0.500 0.000 0.000
Ca: 0.000 0.000 0.500
Zn: 0.500 0.500 0.000
Ru: 0.500 0.500 0.500

(6)
Re2RuAu | GGA-PBEsol | relaxed

Properties
magnetization = 0.0 μB per formula unit
raw total energy = -9.7469 eV per atom
formation energy from the elements = 0.443 eV/atom
symmetry = Cmm2 (35)
ΔE to the lowest computed polymorph = 0.1200 eV/atom

a = 2.686 Å, b = 2.686 Å, c = 9.378 Å
α = 90.00°, β = 90.00°, γ = 116.41°
Element x y z (fractional)
Re: 0.000 0.000 0.000
Re: 0.500 0.500 0.239
Ru: 0.500 0.500 0.767
Au: 0.000 0.000 0.505

(7)
SiAgP | GGA-PBEsol | relaxed

Properties
magnetization = 0.0 μB per formula unit
raw total energy = -4.8847 eV per atom
symmetry = P1 (1)
ΔE_f (raw) = 6.28 kJ/mol of atoms

a = 3.376 Å, b = 3.380 Å, c = 5.024 Å
α = 90.42°, β = 90.15°, γ = 119.90°
Element x y z (fractional)
Si: 0.000 0.000 0.000
Ag: 0.670 0.336 0.371
P: 0.330 0.661 0.760

(8)
Ni3C | GGA-PBEsol | relaxed

Properties
magnetization = 0.0 μB per formula unit
raw total energy = -6.2279 eV per atom
formation energy from the elements = 0.801 eV/atom
symmetry = Pm-3m (221)
ΔE to the lowest computed polymorph = 0.7861 eV/atom

a = 3.307 Å, b = 3.307 Å, c = 3.307 Å
α = 90.00°, β = 90.00°, γ = 90.00°
Element x y z (fractional)
Ni: 0.000 0.000 0.500
Ni: 0.000 0.500 0.000
Ni: 0.500 0.000 0.000
C: 0.500 0.500 0.500

(9)
Y2WCl | GGA-PBEsol | relaxed

Properties
magnetization = 0.0 μB per formula unit
raw total energy = -7.0193 eV per atom
symmetry = I-4m2 (119)
ΔE to the lowest computed polymorph = 0.6095 eV/atom
ΔE_f (raw) = 33.34 kJ/mol of atoms

a = 6.220 Å, b = 6.220 Å, c = 6.220 Å
α = 142.90°, β = 142.90°, γ = 53.48°
Element x y z (fractional)
Y: 0.000 0.000 0.000
Y: 0.750 0.250 0.500
W: 0.250 0.750 0.500
Cl: 0.500 0.500 0.000

(10)
Y2Be | GGA-PBEsol | relaxed

Properties
magnetization = 0.0 μB per formula unit
raw total energy = -5.6987 eV per atom
formation energy from the elements = 0.183 eV/atom
symmetry = I4_1/amd (141)

a = 12.795 Å, b = 12.795 Å, c = 12.795 Å
α = 164.80°, β = 164.80°, γ = 21.56°
Element x y z (fractional)
Y: 0.311 0.561 0.750
Y: 0.439 0.689 0.750
Y: 0.561 0.311 0.250
Y: 0.689 0.439 0.250
Be: 0.125 0.875 0.250
Be: 0.875 0.125 0.750

(11)
KCd2 | GGA-PBEsol | relaxed

Properties
magnetization = 0.0 μB per formula unit
raw total energy = -1.1649 eV per atom
formation energy from the elements = 0.011 eV/atom
symmetry = Immm (71)

a = 6.674 Å, b = 6.674 Å, c = 6.674 Å
α = 149.77°, β = 143.00°, γ = 48.49°
Element x y z (fractional)
K: 0.000 0.000 0.000
Cd: 0.294 0.294 0.000
Cd: 0.706 0.706 0.000

(12)
SrIrRu2 | GGA-PBEsol | relaxed

Properties
magnetization = 0.9 μB per formula unit
raw total energy = -7.1383 eV per atom
formation energy from the elements = 0.864 eV/atom
symmetry = I-4m2 (119)
ΔE to the lowest computed polymorph = 0.3227 eV/atom

a = 4.842 Å, b = 4.842 Å, c = 4.842 Å
α = 129.07°, β = 129.07°, γ = 74.89°
Element x y z (fractional)
Sr: 0.000 0.000 0.000
Ir: 0.750 0.250 0.500
Ru: 0.250 0.750 0.500
Ru: 0.500 0.500 0.000

(13)
MgInFePt2 | GGA-PBEsol | relaxed

Properties
magnetization = 3.3 μB per formula unit
raw total energy = -4.3618 eV per atom
formation energy from the elements = 1.156 eV/atom
symmetry = P4/mmm (123)

a = 4.562 Å, b = 4.562 Å, c = 4.860 Å
α = 90.00°, β = 90.00°, γ = 90.00°
Element x y z (fractional)
Mg: 0.000 0.000 0.000
In: 0.000 0.000 0.500
Fe: 0.500 0.500 0.500
Pt: 0.000 0.500 0.000
Pt: 0.500 0.000 0.000

(14)
GeBi2HSe | GGA-PBEsol | relaxed

Properties
magnetization = 0.0 μB per formula unit
raw total energy = -3.1749 eV per atom
symmetry = P4/mmm (123)

a = 5.461 Å, b = 5.461 Å, c = 4.897 Å
α = 90.00°, β = 90.00°, γ = 90.00°
Element x y z (fractional)
Ge: 0.000 0.000 0.000
Bi: 0.000 0.500 0.000
Bi: 0.500 0.000 0.000
H: 0.500 0.500 0.500
Se: 0.000 0.000 0.500

(15)
CuPbBr | GGA-PBEsol | relaxed

Properties
magnetization = 0.0 μB per formula unit
raw total energy = -3.3735 eV per atom
symmetry = I4mm (107)
ΔE to the lowest computed polymorph = 0.0000 eV/atom
ΔE_f (raw) = 2.65 kJ/mol of atoms

a = 6.227 Å, b = 6.227 Å, c = 6.227 Å
α = 148.13°, β = 148.13°, γ = 45.70°
Element x y z (fractional)
Cu: 0.000 0.000 0.000
Pb: 0.642 0.642 0.000
Br: 0.371 0.371 0.000

(16)
NaScRh2Br | GGA-PBEsol | relaxed

Properties
magnetization = 0.2 μB per formula unit
raw total energy = -3.9166 eV per atom
symmetry = P4/mmm (123)
ΔE_f (raw) = 126.75 kJ/mol of atoms

a = 4.558 Å, b = 4.558 Å, c = 4.892 Å
α = 90.00°, β = 90.00°, γ = 90.00°
Element x y z (fractional)
Na: 0.000 0.000 0.000
Sc: 0.000 0.000 0.500
Rh: 0.000 0.500 0.000
Rh: 0.500 0.000 0.000
Br: 0.500 0.500 0.500

(17)
AgRh | GGA-PBEsol | relaxed

Properties
magnetization = 0.1 μB per formula unit
raw total energy = -5.4681 eV per atom
formation energy from the elements = 0.257 eV/atom
symmetry = R-3m (166)

a = 4.862 Å, b = 4.862 Å, c = 4.862 Å
α = 32.66°, β = 32.66°, γ = 32.66°
Element x y z (fractional)
Ag: 0.000 0.000 0.000
Rh: 0.500 0.500 0.500

(18)
Ir2RhBr | GGA-PBEsol | relaxed

Properties
magnetization = 0.0 μB per formula unit
raw total energy = -6.8268 eV per atom
symmetry = P4mm (99)
ΔE to the lowest computed polymorph = 0.0253 eV/atom
ΔE_f (raw) = 56.64 kJ/mol of atoms

a = 2.813 Å, b = 2.813 Å, c = 7.745 Å
α = 90.00°, β = 90.00°, γ = 90.00°
Element x y z (fractional)
Ir: 0.000 0.000 0.000
Ir: 0.500 0.500 0.228
Rh: 0.000 0.000 0.461
Br: 0.500 0.500 0.718

(19)
Ho3Er | GGA-PBEsol | relaxed

Properties
magnetization = 0.0 μB per formula unit
raw total energy = -4.9270 eV per atom
formation energy from the elements = 0.017 eV/atom
symmetry = Pm-3m (221)
ΔE to the lowest computed polymorph = 0.0075 eV/atom

a = 4.862 Å, b = 4.862 Å, c = 4.862 Å
α = 90.00°, β = 90.00°, γ = 90.00°
Element x y z (fractional)
Ho: 0.000 0.000 0.500
Ho: 0.000 0.500 0.000
Ho: 0.500 0.000 0.000
Er: 0.500 0.500 0.500

(20)
TeRuPb | GGA-PBEsol | relaxed

Properties
magnetization = 0.0 μB per formula unit
raw total energy = -4.7882 eV per atom
symmetry = F-43m (216)
ΔE_f (raw) = 107.18 kJ/mol of atoms

a = 4.751 Å, b = 4.751 Å, c = 4.751 Å
α = 60.00°, β = 60.00°, γ = 60.00°
Element x y z (fractional)
Te: 0.000 0.000 0.000
Ru: 0.500 0.500 0.500
Pb: 0.750 0.750 0.750